# 1
This record from the Alexandria database describes a geometry-optimized Ga2Hg2Rh structure. The functional is PBE.

The structure in extended XYZ format:
```
10
Lattice="-2.2086 5.5912 -4.2460 -5.8666 -3.9148 -2.1035 -1.9330 1.3800 2.8227" Properties=species:S:1:pos:R:3 pbc="T T T"
Rh 0.0000 0.0000 0.0000
Rh -4.0376 0.8382 -3.1747
Hg -5.8106 -1.3601 -3.3141
Hg -5.6675 2.2679 -4.9898
Hg -2.2646 3.0365 -3.0353
Hg -2.4077 -0.5915 -1.3596
Ga -5.2410 -0.9889 -0.6949
Ga -7.3298 1.1497 -3.1709
Ga -4.7672 4.0454 -2.8318
Ga -2.6783 1.9068 -0.3558
```

Results
As for the space group: P4/mbm, No. 127. The calculation puts the energy relative to the lowest polymorph listed for this composition at 235 meV per atom. For the magnetization, the calculation gives 0.00 μB per formula unit. As for the raw total energy: -12.43 eV/f.u. The density of states at the Fermi level comes out at 6.01 states/eV per cell. For the volume, the calculation gives 19.98 Å³ per atom.



# 2
This record from the Alexandria database describes a geometry-optimized Ga2HgRh structure. The functional is PBE.

The structure in extended XYZ format:
```
8
Lattice="4.1051 0.0000 0.0000 0.0000 4.1051 0.0000 2.0526 2.0526 8.9125" Properties=species:S:1:pos:R:3 pbc="T T T"
Rh 2.0526 2.0526 0.0000
Rh 2.0526 4.1051 4.4563
Hg 0.0000 0.0000 0.0000
Hg 4.1051 2.0526 4.4563
Ga 2.8992 1.0263 2.2281
Ga 1.2059 3.0788 2.2281
Ga 3.0788 3.2585 6.6844
Ga 5.1314 4.9517 6.6844
```

Results
As for the space group: I-42d, No. 122. For the magnetization, the calculation gives 0.00 μB per formula unit. As for the raw total energy: -13.66 eV/f.u. The density of states at the Fermi level comes out at 3.83 states/eV per cell. For the volume, the calculation gives 18.77 Å³ per atom.